Arrangement w

Computed, not measured: a relaxed CrRe2Mo crystal at the PBEsol level of DFT.

## Properties
space-group type = P4/mmm

Cell: 3.0243 3.0243 6.1132 Å, 90.00 90.00 90.00°
Sites, in units of the cell vectors:
Cr 0.0000 0.0000 0.0000
Re 0.5000 0.5000 0.2340
Re 0.5000 0.5000 0.7660
Mo 0.0000 0.0000 0.5000

Arrangement x

Computed, not measured: a relaxed CrRe2Mo crystal at the PBEsol level of DFT.

## Properties
space-group type = C2/m

Cell: 5.0379 5.0379 2.6505 Å, 100.30 100.30 116.91°
Sites, in units of the cell vectors:
Cr 0.0000 0.0000 0.0000
Re 0.0000 0.5000 0.5000
Re 0.5000 0.0000 0.5000
Mo 0.5000 0.5000 0.0000

Which one is most stable, and which one is least stable? arrangement w is the most stable of them, while arrangement x is the least stable.

Arrangement w

Computed, not measured: a relaxed CrMo2Ru crystal at the PBEsol level of DFT.

## Properties
space-group type = Cm

Cell: 4.7321 4.7321 4.6194 Å, 100.12 100.12 33.36°
Sites, in units of the cell vectors:
Cr 0.0000 0.0000 0.0000
Mo 0.2489 0.2489 0.7978
Mo 0.4741 0.4741 0.4847
Ru 0.7215 0.7215 0.2811

Arrangement x

Computed, not measured: a relaxed CrMo2Ru crystal at the PBEsol level of DFT.

## Properties
space-group type = P2/m

Cell: 2.6746 4.1804 5.0630 Å, 90.00 101.18 90.00°
Sites, in units of the cell vectors:
Cr 0.0000 0.0000 0.0000
Mo 0.2223 0.5000 0.7567
Mo 0.7777 0.5000 0.2433
Ru 0.5000 0.0000 0.5000

Arrangement y

Computed, not measured: a relaxed CrMo2Ru crystal at the PBEsol level of DFT.

## Properties
space-group type = Cmm2

Cell: 2.6530 2.6530 8.0561 Å, 90.00 90.00 100.22°
Sites, in units of the cell vectors:
Cr 0.0000 0.0000 0.0000
Mo 0.0000 0.0000 0.5314
Mo 0.5000 0.5000 0.2509
Ru 0.5000 0.5000 0.7891

Which one is most stable, and which one is least stable? arrangement x is the most stable of them, while arrangement w is the least stable.

Arrangement w

Computed, not measured: a relaxed CrMoRu2 crystal at the PBEsol level of DFT.

## Properties
space-group type = P2/m

Cell: 2.6561 4.0922 5.1095 Å, 90.00 104.29 90.00°
Sites, in units of the cell vectors:
Cr 0.0000 0.0000 0.0000
Mo 0.0000 0.0000 0.5000
Ru 0.3791 0.5000 0.2349
Ru 0.6209 0.5000 0.7651

Arrangement x

Computed, not measured: a relaxed CrMoRu2 crystal at the PBEsol level of DFT.

## Properties
space-group type = Fm-3m

Cell: 4.2747 4.2747 4.2747 Å, 60.00 60.00 60.00°
Sites, in units of the cell vectors:
Cr 0.0000 0.0000 0.0000
Mo 0.5000 0.5000 0.5000
Ru 0.2500 0.2500 0.2500
Ru 0.7500 0.7500 0.7500

Which one is most stable, and which one is least stable? arrangement w is the most stable of them, while arrangement x is the least stable.

Arrangement w

Computed, not measured: a relaxed Sc2CrMo crystal at the PBEsol level of DFT.

## Properties
space-group type = P4mm

Cell: 3.0795 3.0795 7.4848 Å, 90.00 90.00 90.00°
Sites, in units of the cell vectors:
Sc 0.0000 0.0000 0.0000
Sc 0.5000 0.5000 0.3542
Cr 0.0000 0.0000 0.5852
Mo 0.5000 0.5000 0.7558

Arrangement x

Computed, not measured: a relaxed Sc2CrMo crystal at the PBEsol level of DFT.

## Properties
space-group type = P4/mmm

Cell: 4.6199 4.6199 3.2735 Å, 90.00 90.00 90.00°
Sites, in units of the cell vectors:
Sc 0.0000 0.5000 0.0000
Sc 0.5000 0.0000 0.0000
Cr 0.0000 0.0000 0.5000
Mo 0.5000 0.5000 0.5000

Which one is most stable, and which one is least stable? arrangement w is the most stable of them, while arrangement x is the least stable.

Arrangement w

Computed, not measured: a relaxed CrMoSe crystal at the PBEsol level of DFT.

## Properties
space-group type = P-6m2

Cell: 4.0643 4.0643 2.9014 Å, 90.00 90.00 120.00°
Sites, in units of the cell vectors:
Cr 0.0000 0.0000 0.0000
Mo 0.6667 0.3333 0.5000
Se 0.3333 0.6667 0.0000

Arrangement x

Computed, not measured: a relaxed CrMoSe crystal at the PBEsol level of DFT.

## Properties
space-group type = I4mm

Cell: 5.1984 5.1984 5.1984 Å, 147.23 147.23 47.02°
Sites, in units of the cell vectors:
Cr 0.0000 0.0000 0.0000
Mo 0.6822 0.6822 0.0000
Se 0.3665 0.3665 0.0000

Which one is most stable, and which one is least stable? arrangement w is the most stable of them, while arrangement x is the least stable.

Arrangement w

Computed, not measured: a relaxed TaCrMo2 crystal at the PBEsol level of DFT.

## Properties
space-group type = P4/mmm

Cell: 3.0958 3.0958 6.1977 Å, 90.00 90.00 90.00°
Sites, in units of the cell vectors:
Ta 0.0000 0.0000 0.0000
Cr 0.0000 0.0000 0.5000
Mo 0.5000 0.5000 0.2644
Mo 0.5000 0.5000 0.7356

Arrangement x

Computed, not measured: a relaxed TaCrMo2 crystal at the PBEsol level of DFT.

## Properties
space-group type = Pmmm

Cell: 3.1042 4.3586 4.3913 Å, 90.00 90.00 90.00°
Sites, in units of the cell vectors:
Ta 0.0000 0.0000 0.0000
Cr 0.5000 0.5000 0.0000
Mo 0.0000 0.5000 0.5000
Mo 0.5000 0.0000 0.5000

Arrangement y

Computed, not measured: a relaxed TaCrMo2 crystal at the PBEsol level of DFT.

## Properties
space-group type = F-43m

Cell: 4.3773 4.3773 4.3773 Å, 60.00 60.00 60.00°
Sites, in units of the cell vectors:
Ta 0.0000 0.0000 0.0000
Cr 0.2500 0.2500 0.2500
Mo 0.5000 0.5000 0.5000
Mo 0.7500 0.7500 0.7500

Which one is most stable, and which one is least stable? arrangement y is the most stable of them, while arrangement w is the least stable.

Arrangement w

Computed, not measured: a relaxed TaCrMo2 crystal at the PBEsol level of DFT.

## Properties
space-group type = Immm

Cell: 5.1316 5.1316 5.1316 Å, 144.88 129.39 63.09°
Sites, in units of the cell vectors:
Ta 0.0000 0.0000 0.0000
Cr 0.5000 0.5000 0.0000
Mo 0.2565 0.7565 0.5000
Mo 0.7435 0.2435 0.5000

Arrangement x

Computed, not measured: a relaxed TaCrMo2 crystal at the PBEsol level of DFT.

## Properties
space-group type = I-4m2

Cell: 5.2433 5.2433 5.2433 Å, 139.26 139.26 58.98°
Sites, in units of the cell vectors:
Ta 0.0000 0.0000 0.0000
Cr 0.7500 0.2500 0.5000
Mo 0.2500 0.7500 0.5000
Mo 0.5000 0.5000 0.0000

Arrangement y

Computed, not measured: a relaxed TaCrMo2 crystal at the PBEsol level of DFT.

## Properties
space-group type = P4mm

Cell: 3.0943 3.0943 6.1966 Å, 90.00 90.00 90.00°
Sites, in units of the cell vectors:
Ta 0.0000 0.0000 0.0000
Cr 0.5000 0.5000 0.2468
Mo 0.0000 0.0000 0.4836
Mo 0.5000 0.5000 0.7336

Arrangement z

Computed, not measured: a relaxed TaCrMo2 crystal at the PBEsol level of DFT.

## Properties
space-group type = C2/m

Cell: 5.1239 5.1239 2.7102 Å, 100.13 100.13 117.20°
Sites, in units of the cell vectors:
Ta 0.0000 0.0000 0.0000
Cr 0.5000 0.5000 0.0000
Mo 0.0000 0.5000 0.5000
Mo 0.5000 0.0000 0.5000

Which one is most stable, and which one is least stable? arrangement y is the most stable of them, while arrangement x is the least stable.

Arrangement w

Computed, not measured: a relaxed TlCr2Mo crystal at the PBEsol level of DFT.

## Properties
space-group type = Imm2

Cell: 5.1273 5.1273 5.1273 Å, 145.34 129.61 62.61°
Sites, in units of the cell vectors:
Tl 0.0000 0.0000 0.0000
Cr 0.2654 0.7654 0.5000
Cr 0.4706 0.4706 0.0000
Mo 0.7215 0.2215 0.5000

Arrangement x

Computed, not measured: a relaxed TlCr2Mo crystal at the PBEsol level of DFT.

## Properties
space-group type = P4/mmm

Cell: 3.1076 3.1076 6.2762 Å, 90.00 90.00 90.00°
Sites, in units of the cell vectors:
Tl 0.0000 0.0000 0.0000
Cr 0.5000 0.5000 0.2845
Cr 0.5000 0.5000 0.7155
Mo 0.0000 0.0000 0.5000

Which one is most stable, and which one is least stable? arrangement x is the most stable of them, while arrangement w is the least stable.

Arrangement w

Computed, not measured: a relaxed CrMo2W crystal at the PBEsol level of DFT.

## Properties
space-group type = Cmmm

Cell: 2.6744 2.6744 8.5854 Å, 90.00 90.00 109.70°
Sites, in units of the cell vectors:
Cr 0.0000 0.0000 0.0000
Mo 0.5000 0.5000 0.2366
Mo 0.5000 0.5000 0.7634
W 0.0000 0.0000 0.5000

Arrangement x

Computed, not measured: a relaxed CrMo2W crystal at the PBEsol level of DFT.

## Properties
space-group type = Pm

Cell: 2.6744 4.3201 5.0877 Å, 90.00 99.85 90.00°
Sites, in units of the cell vectors:
Cr 0.0000 0.0000 0.0000
Mo 0.5049 0.0000 0.5004
Mo 0.7517 0.5000 0.2476
W 0.2500 0.5000 0.7575

Arrangement y

Computed, not measured: a relaxed CrMo2W crystal at the PBEsol level of DFT.

## Properties
space-group type = P4/mmm

Cell: 3.0691 3.0691 6.1286 Å, 90.00 90.00 90.00°
Sites, in units of the cell vectors:
Cr 0.0000 0.0000 0.0000
Mo 0.5000 0.5000 0.2398
Mo 0.5000 0.5000 0.7602
W 0.0000 0.0000 0.5000

Which one is most stable, and which one is least stable? arrangement y is the most stable of them, while arrangement x is the least stable.

Arrangement w

Computed, not measured: a relaxed CrMo2W crystal at the PBEsol level of DFT.

## Properties
space-group type = Fm-3m

Cell: 4.3411 4.3411 4.3411 Å, 60.00 60.00 60.00°
Sites, in units of the cell vectors:
Cr 0.0000 0.0000 0.0000
Mo 0.2500 0.2500 0.2500
Mo 0.7500 0.7500 0.7500
W 0.5000 0.5000 0.5000

Arrangement x

Computed, not measured: a relaxed CrMo2W crystal at the PBEsol level of DFT.

## Properties
space-group type = P2/m

Cell: 2.6744 4.3322 5.0764 Å, 90.00 100.12 90.00°
Sites, in units of the cell vectors:
Cr 0.0000 0.0000 0.0000
Mo 0.2483 0.5000 0.7556
Mo 0.7517 0.5000 0.2444
W 0.5000 0.0000 0.5000

Which one is most stable, and which one is least stable? arrangement w is the most stable of them, while arrangement x is the least stable.

Arrangement w

Computed, not measured: a relaxed CrMo2W crystal at the PBEsol level of DFT.

## Properties
space-group type = Cmm2

Cell: 2.6748 2.6748 8.5838 Å, 90.00 90.00 109.80°
Sites, in units of the cell vectors:
Cr 0.0000 0.0000 0.0000
Mo 0.0000 0.0000 0.4978
Mo 0.5000 0.5000 0.2366
W 0.5000 0.5000 0.7608

Arrangement x

Computed, not measured: a relaxed CrMo2W crystal at the PBEsol level of DFT.

## Properties
space-group type = Pmmm

Cell: 3.0729 4.3201 4.3489 Å, 90.00 90.00 90.00°
Sites, in units of the cell vectors:
Cr 0.0000 0.0000 0.0000
Mo 0.0000 0.5000 0.5000
Mo 0.5000 0.0000 0.5000
W 0.5000 0.5000 0.0000

Which one is most stable, and which one is least stable? arrangement x is the most stable of them, while arrangement w is the least stable.

Arrangement w

Computed, not measured: a relaxed CrMo2W crystal at the PBEsol level of DFT.

## Properties
space-group type = Immm

Cell: 5.0835 5.0835 5.0835 Å, 144.82 129.52 63.01°
Sites, in units of the cell vectors:
Cr 0.0000 0.0000 0.0000
Mo 0.2472 0.7472 0.5000
Mo 0.7528 0.2528 0.5000
W 0.5000 0.5000 0.0000

Arrangement x

Computed, not measured: a relaxed CrMo2W crystal at the PBEsol level of DFT.

## Properties
space-group type = P4mm

Cell: 3.0649 3.0649 6.1309 Å, 90.00 90.00 90.00°
Sites, in units of the cell vectors:
Cr 0.0000 0.0000 0.0000
Mo 0.0000 0.0000 0.4979
Mo 0.5000 0.5000 0.2413
W 0.5000 0.5000 0.7597

Arrangement y

Computed, not measured: a relaxed CrMo2W crystal at the PBEsol level of DFT.

## Properties
space-group type = C2/m

Cell: 5.0837 5.0837 2.6804 Å, 100.04 100.04 117.29°
Sites, in units of the cell vectors:
Cr 0.0000 0.0000 0.0000
Mo 0.0000 0.5000 0.5000
Mo 0.5000 0.0000 0.5000
W 0.5000 0.5000 0.0000

Arrangement z

Computed, not measured: a relaxed CrMo2W crystal at the PBEsol level of DFT.

## Properties
space-group type = Imm2

Cell: 5.0764 5.0764 5.0764 Å, 144.77 129.18 63.34°
Sites, in units of the cell vectors:
Cr 0.0000 0.0000 0.0000
Mo 0.5005 0.5005 0.0000
Mo 0.7524 0.2524 0.5000
W 0.2471 0.7471 0.5000

Which one is most stable, and which one is least stable? arrangement x is the most stable of them, while arrangement y is the least stable.